Be2Tl2WO6 after structural relaxation, computed with GGA+U.

Results
**Size of the total moment**: 0.0 μB/cell
**Electronic total energy**: -6.3436 eV/atom
**Density**: 7.3 g/cm3
**Fermi-level density of states**: 0.00 states/eV per cell
**Crystal system**: trigonal
**Calculated volume**: 14.6 Å³ per atom

Unit cell a=5.4102 b=5.4102 c=18.9529 alpha=90.00 beta=90.00 gamma=120.00
Space group R-3m (No. 166, hexagonal axes)
Asymmetric unit:
Be 0.0000 0.0000 0.1077 x6
Tl 0.0000 0.0000 0.2868 x6
W 0.0000 0.0000 0.5000 x3
O 0.0043 0.5021 0.7730 x18